# 1
SiMoAs2 (PBE, optimized geometry); SG = No. 65; formation energy without anion corrections = 0.361 eV/atom; density = 7.1 Mg/m³
1.0
-3.396 0.393 2.976
0.516 -4.466 -0.578
2.124 -0.070 2.433
As Si Mo
2 1 1
direct
0.000 0.000 0.000
0.500 0.500 0.000
0.000 0.500 0.500
0.500 0.000 0.500


# 2
SiMo2As (PBE, optimized geometry); SG = No. 225; formation energy without anion corrections = -0.052 eV/atom; E above lowest polymorph = 211 meV per atom; density = 8.3 Mg/m³
1.0
0.000 3.093 3.093
3.093 0.000 3.093
3.093 3.093 0.000
Mo As Si
2 1 1
direct
0.750 0.750 0.750
0.250 0.250 0.250
0.500 0.500 0.500
0.000 0.000 0.000


# 3
SiMoAs2 (PBE, optimized geometry); SG = No. 122; formation energy without anion corrections = 0.381 eV/atom; density = 5.0 Mg/m³
1.0
-0.866 1.707 5.495
-5.245 -2.520 -0.044
-0.880 -4.966 4.485
As Mo Si
4 2 2
direct
0.135 0.625 0.250
0.875 0.865 0.750
0.615 0.125 0.250
0.375 0.385 0.750
0.750 0.250 0.500
0.000 0.000 0.000
0.500 0.500 0.000
0.250 0.750 0.500


# 4
SiMo2As (PBE, optimized geometry); SG = No. 122; formation energy without anion corrections = 0.324 eV/atom; E above lowest polymorph = 587 meV per atom; density = 7.4 Mg/m³
1.0
3.821 0.000 0.000
0.000 3.821 0.000
1.911 1.911 9.011
Mo As Si
4 2 2
direct
0.375 0.376 0.750
0.624 0.125 0.250
0.875 0.874 0.750
0.126 0.625 0.250
0.000 0.000 0.000
0.750 0.250 0.500
0.250 0.750 0.500
0.500 0.500 0.000


# 5
SiMoAs2 (PBE, optimized geometry); SG = No. 8; formation energy without anion corrections = 0.087 eV/atom; density = 6.0 Mg/m³
1.0
-0.825 -4.224 -1.562
2.368 -3.580 -1.594
0.543 -2.451 4.833
As Si Mo
2 1 1
direct
0.791 0.791 0.686
0.997 0.997 0.056
0.218 0.218 0.336
0.494 0.494 0.422


# 6
SiMo2As (PBE, optimized geometry); SG = No. 216; formation energy without anion corrections = 0.163 eV/atom; E above lowest polymorph = 426 meV per atom; density = 7.9 Mg/m³
1.0
-3.368 2.827 -0.581
-1.380 0.993 -4.097
-3.921 -1.489 -1.441
Si As Mo
1 1 2
direct
0.750 0.750 0.750
0.500 0.500 0.500
0.250 0.250 0.250
0.000 0.000 0.000


# 7
SiMoAs2 (PBE, optimized geometry); SG = No. 99; formation energy without anion corrections = -0.004 eV/atom; density = 6.4 Mg/m³
1.0
-0.230 -2.778 -1.583
-0.970 -1.451 2.688
-6.581 1.452 -1.591
Mo As Si
1 2 1
direct
0.000 0.000 0.535
0.500 0.500 0.325
0.000 0.000 0.924
0.500 0.500 0.717


# 8
SiMoAs2 (PBE, optimized geometry); SG = No. 35; formation energy without anion corrections = 0.267 eV/atom; density = 6.3 Mg/m³
1.0
2.816 0.000 0.000
-0.596 2.752 0.000
0.000 0.000 9.297
Mo Si As
1 1 2
direct
0.000 0.000 0.516
0.500 0.500 0.721
0.000 0.000 0.954
0.500 0.500 0.309


# 9
SiMo3As (PBE, optimized geometry); SG = No. 221; formation energy without anion corrections = 1.088 eV/atom; E above lowest polymorph = 0 meV per atom; density = 7.1 Mg/m³
1.0
4.505 0.000 0.000
0.000 4.505 0.000
0.000 0.000 4.505
Mo As Si
3 1 1
direct
0.000 0.000 0.500
0.000 0.500 0.000
0.500 0.000 0.000
0.500 0.500 0.500
0.000 0.000 0.000


# 10
SiMo2As (PBE, optimized geometry); SG = No. 119; formation energy without anion corrections = 0.189 eV/atom; E above lowest polymorph = 453 meV per atom; density = 8.0 Mg/m³
1.0
-3.454 -3.085 1.236
1.638 -4.456 -0.660
1.878 3.738 2.340
Mo As Si
2 1 1
direct
0.250 0.750 0.500
0.000 0.000 0.000
0.750 0.250 0.500
0.500 0.500 0.000


# 11
SiMoAs2 (PBE, optimized geometry); SG = No. 6; formation energy without anion corrections = 0.032 eV/atom; density = 6.8 Mg/m³
1.0
4.213 0.000 0.000
0.000 3.451 0.000
0.000 1.718 4.576
As Mo Si
2 1 1
direct
0.000 0.982 0.910
0.500 0.278 0.320
0.000 0.695 0.484
0.500 0.546 0.786


# 12
SiMoAs4 (PBE, optimized geometry); SG = No. 216; formation energy without anion corrections = 0.876 eV/atom; density = 6.3 Mg/m³
1.0
3.841 -0.769 3.729
-1.302 -2.013 4.848
1.505 -5.020 1.337
Mo As Si
1 4 1
direct
0.750 0.750 0.750
0.375 0.375 0.375
0.375 0.874 0.375
0.375 0.375 0.874
0.874 0.375 0.375
0.000 0.000 0.000


# 13
SiMo2As (PBE, optimized geometry); SG = No. 99; formation energy without anion corrections = -0.263 eV/atom; E above lowest polymorph = 0 meV per atom; density = 8.2 Mg/m³
1.0
3.244 0.000 0.000
0.000 3.244 0.000
0.000 0.000 5.672
Si As Mo
1 1 2
direct
0.000 0.000 0.481
0.500 0.500 0.760
0.500 0.500 0.288
0.000 0.000 0.971


# 14
SiMo2As (PBE, optimized geometry); SG = No. 12; formation energy without anion corrections = 0.069 eV/atom; E above lowest polymorph = 332 meV per atom; density = 8.0 Mg/m³
1.0
4.384 0.007 -0.013
3.357 2.821 -0.013
0.989 0.361 4.953
Si Mo As
1 2 1
direct
0.750 0.750 0.750
0.490 0.490 0.507
0.010 0.010 0.993
0.250 0.250 0.250


# 15
SiMoAs2 (PBE, optimized geometry); SG = No. 119; formation energy without anion corrections = 0.467 eV/atom; density = 6.9 Mg/m³
1.0
5.076 -0.013 0.000
2.042 4.647 0.000
-3.559 -2.317 2.780
As Si Mo
2 1 1
direct
0.000 0.000 0.000
0.250 0.750 0.500
0.750 0.250 0.500
0.500 0.500 0.000


# 16
Si3MoAs (PBE, optimized geometry); SG = No. 221; formation energy without anion corrections = 1.575 eV/atom; E above lowest polymorph = 776 meV per atom; density = 4.3 Mg/m³
1.0
4.608 0.000 0.000
0.000 4.608 0.000
0.000 0.000 4.608
Si As Mo
3 1 1
direct
0.500 0.000 0.000
0.000 0.000 0.500
0.000 0.500 0.000
0.000 0.000 0.000
0.500 0.500 0.500


# 17
SiMoAs2 (PBE, optimized geometry); SG = No. 10; formation energy without anion corrections = 0.382 eV/atom; density = 6.4 Mg/m³
1.0
4.440 0.000 0.000
0.000 3.336 0.011
0.000 1.474 4.774
Mo As Si
1 2 1
direct
0.500 0.250 0.250
0.000 0.163 0.003
0.000 0.337 0.497
0.500 0.750 0.750


# 18
SiMoAs2 (PBE, optimized geometry); SG = No. 12; formation energy without anion corrections = 0.191 eV/atom; density = 7.0 Mg/m³
1.0
-3.701 -0.776 -2.841
-1.118 -2.312 -3.972
-1.341 -3.833 2.143
As Mo Si
2 1 1
direct
0.026 0.026 0.981
0.474 0.474 0.519
0.750 0.750 0.750
0.250 0.250 0.250


# 19
SiMoAs2 (PBE, optimized geometry); SG = No. 166; formation energy without anion corrections = 0.213 eV/atom; density = 6.4 Mg/m³
1.0
8.928 -0.009 -0.005
8.408 3.004 -0.005
8.408 1.453 2.629
Mo As Si
1 2 1
direct
0.250 0.250 0.250
0.511 0.511 0.511
0.989 0.989 0.989
0.750 0.750 0.750